Record 1
LiAlNiOs: optimized geometry, PBE.

abc: 5.9229 5.9229 5.9229
angles: 90.00 90.00 90.00
Sites, in units of the cell vectors:
1 Li 0.0000 0.0000 0.0000
2 Li 0.0000 0.5000 0.5000
3 Li 0.5000 0.0000 0.5000
4 Li 0.5000 0.5000 0.0000
5 Al 0.2500 0.2500 0.7500
6 Al 0.2500 0.7500 0.2500
7 Al 0.7500 0.2500 0.2500
8 Al 0.7500 0.7500 0.7500
9 Ni 0.2500 0.2500 0.2500
10 Ni 0.2500 0.7500 0.7500
11 Ni 0.7500 0.2500 0.7500
12 Ni 0.7500 0.7500 0.2500
13 Os 0.0000 0.0000 0.5000
14 Os 0.0000 0.5000 0.0000
15 Os 0.5000 0.0000 0.0000
16 Os 0.5000 0.5000 0.5000

Computed properties:
* DFT formation energy: -80.5 meV/atom

---

Record 2
LiPaAlNi: optimized geometry, PBE.

abc: 6.4418 6.4418 6.4418
angles: 90.00 90.00 90.00
Sites, in units of the cell vectors:
1 Li 0.0000 0.0000 0.0000
2 Li 0.0000 0.5000 0.5000
3 Li 0.5000 0.0000 0.5000
4 Li 0.5000 0.5000 0.0000
5 Pa 0.2500 0.2500 0.7500
6 Pa 0.2500 0.7500 0.2500
7 Pa 0.7500 0.2500 0.2500
8 Pa 0.7500 0.7500 0.7500
9 Al 0.2500 0.2500 0.2500
10 Al 0.2500 0.7500 0.7500
11 Al 0.7500 0.2500 0.7500
12 Al 0.7500 0.7500 0.2500
13 Ni 0.0000 0.0000 0.5000
14 Ni 0.0000 0.5000 0.0000
15 Ni 0.5000 0.0000 0.0000
16 Ni 0.5000 0.5000 0.5000

Computed properties:
* DFT formation energy: -185.7 meV/atom

---

Record 3
LiPm2Al12Ni3: optimized geometry, PBE.

abc: 7.7453 7.7453 7.7453
angles: 65.96 65.96 65.96
Sites, in units of the cell vectors:
1 Li 0.0000 0.0000 0.0000
2 Pm 0.4195 0.4195 0.4195
3 Pm 0.5805 0.5805 0.5805
4 Al 0.1158 0.7394 0.7394
5 Al 0.1648 0.1648 0.5378
6 Al 0.1648 0.5378 0.1648
7 Al 0.2606 0.2606 0.8842
8 Al 0.2606 0.8842 0.2606
9 Al 0.4622 0.8352 0.8352
10 Al 0.5378 0.1648 0.1648
11 Al 0.7394 0.1158 0.7394
12 Al 0.7394 0.7394 0.1158
13 Al 0.8352 0.4622 0.8352
14 Al 0.8352 0.8352 0.4622
15 Al 0.8842 0.2606 0.2606
16 Ni 0.0000 0.0000 0.5000
17 Ni 0.0000 0.5000 0.0000
18 Ni 0.5000 0.0000 0.0000

Computed properties:
* DFT formation energy: 22.4 meV/atom

---

Record 4
LiPmAlNi: optimized geometry, PBE.

abc: 6.5418 6.5418 6.5418
angles: 90.00 90.00 90.00
Sites, in units of the cell vectors:
1 Li 0.0000 0.0000 0.0000
2 Li 0.0000 0.5000 0.5000
3 Li 0.5000 0.0000 0.5000
4 Li 0.5000 0.5000 0.0000
5 Pm 0.2500 0.2500 0.7500
6 Pm 0.2500 0.7500 0.2500
7 Pm 0.7500 0.2500 0.2500
8 Pm 0.7500 0.7500 0.7500
9 Al 0.2500 0.2500 0.2500
10 Al 0.2500 0.7500 0.7500
11 Al 0.7500 0.2500 0.7500
12 Al 0.7500 0.7500 0.2500
13 Ni 0.0000 0.0000 0.5000
14 Ni 0.0000 0.5000 0.0000
15 Ni 0.5000 0.0000 0.0000
16 Ni 0.5000 0.5000 0.5000

Computed properties:
* DFT formation energy: -295.4 meV/atom

---

Record 5
LiPm2Al2Ni5: optimized geometry, PBE.

abc: 9.9712 9.9712 3.2924
angles: 90.00 90.00 90.00
Sites, in units of the cell vectors:
1 Li 0.0000 0.0000 0.0000
2 Li 0.5000 0.5000 0.0000
3 Pm 0.1772 0.3228 0.0000
4 Pm 0.3228 0.8228 0.0000
5 Pm 0.6772 0.1772 0.0000
6 Pm 0.8228 0.6772 0.0000
7 Al 0.1212 0.6212 0.0000
8 Al 0.3788 0.1212 0.0000
9 Al 0.6212 0.8788 0.0000
10 Al 0.8788 0.3788 0.0000
11 Ni 0.0000 0.5000 0.5000
12 Ni 0.0584 0.7910 0.5000
13 Ni 0.2090 0.0584 0.5000
14 Ni 0.2910 0.5584 0.5000
15 Ni 0.4416 0.2910 0.5000
16 Ni 0.5000 0.0000 0.5000
17 Ni 0.5584 0.7090 0.5000
18 Ni 0.7090 0.4416 0.5000
19 Ni 0.7910 0.9416 0.5000
20 Ni 0.9416 0.2090 0.5000

Computed properties:
* DFT formation energy: -195.4 meV/atom

---

Record 6
LiPr2Al12Ni3: optimized geometry, PBE.

abc: 7.8304 7.8304 7.8304
angles: 65.34 65.34 65.34
Sites, in units of the cell vectors:
1 Li 0.0000 0.0000 0.0000
2 Pr 0.4185 0.4185 0.4185
3 Pr 0.5815 0.5815 0.5815
4 Al 0.1093 0.7400 0.7401
5 Al 0.1628 0.1628 0.5362
6 Al 0.1628 0.5362 0.1628
7 Al 0.2599 0.2600 0.8907
8 Al 0.2599 0.8907 0.2599
9 Al 0.4638 0.8372 0.8372
10 Al 0.5362 0.1628 0.1628
11 Al 0.7401 0.1093 0.7401
12 Al 0.7401 0.7401 0.1093
13 Al 0.8372 0.4638 0.8372
14 Al 0.8372 0.8372 0.4638
15 Al 0.8907 0.2599 0.2600
16 Ni 0.0000 0.0000 0.5000
17 Ni 0.0000 0.5000 0.0000
18 Ni 0.5000 0.0000 0.0000

Computed properties:
* DFT formation energy: 25.2 meV/atom

---

Record 7
LiAl4NiPt2: optimized geometry, PBE.

abc: 7.4218 7.4218 7.4218
angles: 33.45 33.45 33.45
Sites, in units of the cell vectors:
1 Li 0.0000 0.0000 0.0000
2 Al 0.1284 0.1284 0.1284
3 Al 0.3779 0.3779 0.3779
4 Al 0.6221 0.6221 0.6221
5 Al 0.8716 0.8716 0.8716
6 Ni 0.5000 0.5000 0.5000
7 Pt 0.2532 0.2532 0.2532
8 Pt 0.7468 0.7468 0.7468

Computed properties:
* DFT formation energy: -823.2 meV/atom

---

Record 8
LiAlNiRu: optimized geometry, PBE.

abc: 5.8206 5.8206 5.8206
angles: 90.00 90.00 90.00
Sites, in units of the cell vectors:
1 Li 0.0000 0.0000 0.0000
2 Li 0.0000 0.5000 0.5000
3 Li 0.5000 0.0000 0.5000
4 Li 0.5000 0.5000 0.0000
5 Al 0.0000 0.0000 0.5000
6 Al 0.0000 0.5000 0.0000
7 Al 0.5000 0.0000 0.0000
8 Al 0.5000 0.5000 0.5000
9 Ni 0.2500 0.2500 0.2500
10 Ni 0.2500 0.7500 0.7500
11 Ni 0.7500 0.2500 0.7500
12 Ni 0.7500 0.7500 0.2500
13 Ru 0.2500 0.2500 0.7500
14 Ru 0.2500 0.7500 0.2500
15 Ru 0.7500 0.2500 0.2500
16 Ru 0.7500 0.7500 0.7500

Computed properties:
* DFT formation energy: -262.2 meV/atom